The following is a DFT calculation (GGA-PBE) of GaAgO2 after structural relaxation.

Cell lengths 6.412, 6.412, 6.412 Å; angles 31.10, 31.10, 31.10 degrees
Fractional coordinates of all 4 atoms:
1 Ga 0.000 0.000 0.000
2 Ag 0.500 0.500 0.500
3 O 0.094 0.094 0.094
4 O 0.906 0.906 0.906

Calculated values
Symmetry = No. 166
Crystal system = trigonal
Total moment = 0.00 μB per formula unit
Electronic total energy = -4.417 eV per atom

=====

The following is a DFT calculation (GGA-PBE) of GaAgO3 after structural relaxation.

Cell lengths 3.839, 3.839, 3.839 Å; angles 90.00, 90.00, 90.00 degrees
Fractional coordinates of all 5 atoms:
1 Ga 0.000 0.000 0.000
2 Ag 0.500 0.500 0.500
3 O 0.000 0.000 0.500
4 O 0.000 0.500 0.000
5 O 0.500 0.000 0.000

Calculated values
Symmetry = No. 221
Crystal system = cubic
Total moment = 0.00 μB per formula unit
Electronic total energy = -4.569 eV per atom

=====

The following is a DFT calculation (GGA-PBE) of GaAgO2 after structural relaxation.

Cell lengths 6.525, 6.525, 6.525 Å; angles 26.91, 26.91, 26.91 degrees
Fractional coordinates of all 4 atoms:
1 Ga 0.000 0.000 0.000
2 Ag 0.500 0.500 0.500
3 O 0.387 0.387 0.387
4 O 0.613 0.613 0.613

Calculated values
Symmetry = No. 166
Crystal system = trigonal
Total moment = 0.00 μB per formula unit
Electronic total energy = -5.179 eV per atom

=====

The following is a DFT calculation (GGA-PBE) of GaAgO3 after structural relaxation.

Cell lengths 3.976, 3.976, 3.976 Å; angles 90.00, 90.00, 90.00 degrees
Fractional coordinates of all 5 atoms:
1 Ga 0.000 0.000 0.000
2 Ag 0.500 0.500 0.500
3 O 0.000 0.500 0.500
4 O 0.500 0.000 0.500
5 O 0.500 0.500 0.000

Calculated values
Symmetry = No. 221
Crystal system = cubic
Total moment = 0.00 μB per formula unit
Electronic total energy = -3.886 eV per atom